# Pu2TlIrO8 GGA-PBE relaxed
# Formation energy without anion corrections (eV per formula unit): -20.43
# Crystal system: trigonal
data_Pu2TlIrO8
_cell_length_a 5.6590
_cell_length_b 5.6590
_cell_length_c 7.0939
_cell_angle_alpha 90.00
_cell_angle_beta 90.00
_cell_angle_gamma 120.00
_symmetry_space_group_name_H-M 'P -3'
_symmetry_Int_Tables_number 147
loop_
_symmetry_equiv_pos_as_xyz
'x,y,z'
'-x,-y,-z'
'-y,x-y,z'
'y,-x+y,-z'
'-x+y,-x,z'
'x-y,x,-z'
loop_
_atom_site_label
_atom_site_type_symbol
_atom_site_fract_x
_atom_site_fract_y
_atom_site_fract_z
Pu1 Pu 0.3333 0.6667 0.0963
Tl1 Tl 0.0000 0.0000 0.5000
Ir1 Ir 0.0000 0.0000 0.0000
O1 O 0.0742 0.7216 0.8711
O2 O 0.3333 0.6667 0.3588